1.
Material: PmTmTh2
Method: DFT, PBE
State: optimized geometry

POSCAR file:
```
PmTmTh2
1.0
0.2380 3.5478 -3.5717
-3.0256 -2.7835 -2.9665
-8.3479 1.0237 7.5534
Pm Tm Th
2 2 4
direct
0.3694 0.2500 0.3696
0.6306 0.7500 0.6304
0.8698 0.7500 0.3698
0.1302 0.2500 0.6302
0.6217 0.2500 0.1211
0.3783 0.7500 0.8789
0.1232 0.7500 0.1231
0.8768 0.2500 0.8769
```

Properties
Its electronic total energy is -5.986 eV per atom. As for the space group: P2_1/m, No. 11. The value obtained for the distance to the lowest polymorph of the same formula is 0 meV/atom. The calculation puts the energy of formation from the pure elements at 11 kJ/mol of formula units. Its calculated density is 10.0 Mg/m³.

2.
Material: Pm8Tm2Th3
Method: DFT, PBE
State: optimized geometry

POSCAR file:
```
Pm8Tm2Th3
1.0
8.9949 -1.1141 -5.0750
-1.9227 9.3878 -5.4688
-3.4991 -1.9341 9.0402
Pm Tm Th
8 2 3
direct
0.0098 0.6133 0.2266
0.9902 0.3867 0.7734
0.1632 0.2524 0.5048
0.8368 0.7476 0.4952
0.6433 0.7245 0.9634
0.6433 0.2389 0.9634
0.3567 0.7611 0.0366
0.3567 0.2755 0.0366
0.4268 0.1906 0.3812
0.5732 0.8094 0.6188
0.5000 0.0000 0.0000
0.0000 0.2362 0.0000
0.0000 0.7638 0.0000
```

Properties
Its electronic total energy is -5.087 eV per atom. As for the space group: C2/m, No. 12. The calculation puts the energy of formation from the pure elements at 297 kJ/mol of formula units. Its calculated density is 8.2 Mg/m³.

3.
Material: PmTm7Th2
Method: DFT, PBE
State: optimized geometry

POSCAR file:
```
PmTm7Th2
1.0
5.3106 1.1706 0.8103
1.2779 8.1929 -1.2384
1.2779 1.7252 8.1043
Pm Tm Th
1 7 2
direct
0.0000 0.0000 0.0000
0.0000 0.6654 0.3346
0.0000 0.3346 0.6654
0.7471 0.1007 0.4049
0.2529 0.8993 0.5951
0.7471 0.4049 0.1007
0.2529 0.5951 0.8993
0.5000 0.5000 0.5000
0.5000 0.8447 0.1553
0.5000 0.1553 0.8447
```

Properties
Its electronic total energy is -4.650 eV per atom. As for the space group: C2/m, No. 12. The calculation puts the energy of formation from the pure elements at 424 kJ/mol of formula units. Its calculated density is 8.7 Mg/m³.

4.
Material: Pm4Tm5Th2
Method: DFT, PBE
State: optimized geometry

POSCAR file:
```
Pm4Tm5Th2
1.0
3.1339 -0.3575 -1.6729
-0.6346 9.3789 0.5840
-4.3379 1.5348 14.4147
Pm Tm Th
4 5 2
direct
0.2221 0.1772 0.5445
0.3887 0.7221 0.1759
0.7779 0.8228 0.4555
0.6113 0.2779 0.8241
0.6827 0.5478 0.6366
0.3173 0.4522 0.3634
0.1481 0.9067 0.7319
0.5000 0.0000 0.0000
0.8519 0.0933 0.2681
0.0310 0.6346 0.9048
0.9690 0.3654 0.0952
```

Properties
Its electronic total energy is -5.082 eV per atom. As for the space group: P-1, No. 2. The value obtained for the distance to the lowest polymorph of the same formula is 0 meV/atom. The calculation puts the energy of formation from the pure elements at 29 kJ/mol of formula units. Its calculated density is 8.9 Mg/m³.

Q: Which of these has the highest electronic total energy?
A: PmTm7Th2